[1]
This record from Alexandria via LeMat-Bulk describes a geometry-optimized NaAgPdAu structure. The functional is GGA-PBE.

V: 72.0 Å³/f.u.
ΔE_f: -98 meV per atom
calculated density: 10.02 g cm⁻³

a b c (Å): 6.603 6.603 6.603
angles (deg): 90.00 90.00 90.00
Space group F-43m (No. 216)
Symmetry-distinct sites (fractional):
Na: 0.000 0.000 0.000 x4
Ag: 0.250 0.250 0.250 x4
Pd: 0.250 0.250 0.750 x4
Au: 0.000 0.000 0.500 x4

[2]
This record from Alexandria via LeMat-Bulk describes a geometry-optimized Na2Ag5PdAu2 structure. The functional is GGA-PBE.

V: 200.1 Å³/f.u.
ΔE_f: -59 meV per atom
calculated density: 9.01 g cm⁻³

a b c (Å): 9.699 9.699 4.255
angles (deg): 90.00 90.00 90.00
Space group P4/mbm (No. 127)
Symmetry-distinct sites (fractional):
Na: 0.173 0.327 0.000 x4
Ag: 0.000 0.500 0.500 x2
Ag: 0.065 0.805 0.500 x8
Pd: 0.000 0.000 0.000 x2
Au: 0.125 0.625 0.000 x4

[3]
This record from Alexandria via LeMat-Bulk describes a geometry-optimized Na2AgPd2Au5 structure. The functional is GGA-PBE.

V: 191.9 Å³/f.u.
ΔE_f: -172 meV per atom
calculated density: 11.69 g cm⁻³

a b c (Å): 9.397 9.397 4.347
angles (deg): 90.00 90.00 90.00
Space group P4/mbm (No. 127)
Symmetry-distinct sites (fractional):
Na: 0.172 0.328 0.000 x4
Ag: 0.000 0.000 0.000 x2
Pd: 0.125 0.625 0.000 x4
Au: 0.000 0.500 0.500 x2
Au: 0.070 0.799 0.500 x8

[4]
This record from Alexandria via LeMat-Bulk describes a geometry-optimized Na2Ag2PdAu5 structure. The functional is GGA-PBE.

V: 195.6 Å³/f.u.
ΔE_f: -128 meV per atom
calculated density: 11.49 g cm⁻³

a b c (Å): 9.516 9.516 4.320
angles (deg): 90.00 90.00 90.00
Space group P4/mbm (No. 127)
Symmetry-distinct sites (fractional):
Na: 0.174 0.326 0.000 x4
Ag: 0.125 0.625 0.000 x4
Pd: 0.000 0.000 0.000 x2
Au: 0.000 0.500 0.500 x2
Au: 0.065 0.802 0.500 x8

[5]
This record from Alexandria via LeMat-Bulk describes a geometry-optimized NaPmAgAu structure. The functional is GGA-PBE.

V: 94.3 Å³/f.u.
ΔE_f: -358 meV per atom
calculated density: 8.33 g cm⁻³

a b c (Å): 7.224 7.224 7.224
angles (deg): 90.00 90.00 90.00
Space group F-43m (No. 216)
Symmetry-distinct sites (fractional):
Na: 0.000 0.000 0.000 x4
Pm: 0.000 0.000 0.500 x4
Ag: 0.250 0.250 0.750 x4
Au: 0.250 0.250 0.250 x4

[6]
This record from Alexandria via LeMat-Bulk describes a geometry-optimized NaPrAgAu structure. The functional is GGA-PBE.

V: 97.3 Å³/f.u.
ΔE_f: -355 meV per atom
calculated density: 8.00 g cm⁻³

a b c (Å): 7.301 7.301 7.301
angles (deg): 90.00 90.00 90.00
Space group F-43m (No. 216)
Symmetry-distinct sites (fractional):
Na: 0.000 0.000 0.000 x4
Pr: 0.000 0.000 0.500 x4
Ag: 0.250 0.250 0.750 x4
Au: 0.250 0.250 0.250 x4

The following total magnetic moment values (in μB per formula unit) correspond, in order, to the records above: 0.0 0.0 0.0 0.0 0.0 0.0.